# 1
Sc2Si2Ru: optimized geometry, PBE.

a b c (Å): 6.4195 6.4195 4.0306
angles (deg): 90.00 90.00 90.00
Space group P4/mbm (No. 127)
Unique sites:
Sc 0.1738 0.3262 0.0000
Si 0.1323 0.6323 0.5000
Ru 0.0000 0.0000 0.5000

Values from the calculation:
The value obtained for the density is 4.94 g/cm³. The calculation puts the energy at -74.34 eV/cell. Its calculated volume is 16.61 Å³ per atom. The calculation puts the distance to the lowest polymorph of the same formula at 12 meV per atom. Its crystal system is tetragonal.

# 2
Sc4SiRu3: optimized geometry, PBE.

a b c (Å): 3.2774 3.2774 12.4991
angles (deg): 90.00 90.00 90.00
Space group P4/mmm (No. 123)
Unique sites:
Sc 0.0000 0.0000 0.1237
Sc 0.0000 0.0000 0.3713
Si 0.5000 0.5000 0.5000
Ru 0.5000 0.5000 0.0000
Ru 0.5000 0.5000 0.2587

Values from the calculation:
The value obtained for the density is 6.32 g/cm³. The calculation puts the energy at -63.58 eV/cell. Its calculated volume is 16.78 Å³ per atom. Its crystal system is tetragonal.

# 3
ScSi4Ru: optimized geometry, PBE.

a b c (Å): 7.0209 7.0209 7.0209
angles (deg): 90.00 90.00 90.00
Space group F-43m (No. 216)
Unique sites:
Sc 0.0000 0.0000 0.0000
Si 0.1247 0.1247 0.6247
Ru 0.2500 0.2500 0.2500

Values from the calculation:
The value obtained for the density is 4.96 g/cm³. The calculation puts the energy at -147.69 eV/cell. Its calculated volume is 14.42 Å³ per atom. The calculation puts the distance to the lowest polymorph of the same formula at 365 meV per atom. Its crystal system is cubic.

# 4
Sc2Si2Ru: optimized geometry, PBE.

a b c (Å): 4.0218 5.0787 8.2863
angles (deg): 90.00 90.00 90.00
Space group Immm (No. 71)
Unique sites:
Sc 0.0000 0.0000 0.2018
Si 0.0000 0.2650 0.5000
Ru 0.0000 0.5000 0.0000

Values from the calculation:
The value obtained for the density is 4.85 g/cm³. The calculation puts the energy at -74.16 eV/cell. Its calculated volume is 16.93 Å³ per atom. The calculation puts the distance to the lowest polymorph of the same formula at 30 meV per atom. Its crystal system is orthorhombic.

# 5
Sc2Si9Ru3: optimized geometry, PBE.

a b c (Å): 12.7129 7.3501 9.6533
angles (deg): 90.00 115.95 90.00
Space group C2/c (No. 15)
Unique sites:
Sc 0.1671 0.0827 0.2503
Si 0.0000 0.3888 0.2500
Si 0.0566 0.0800 0.9200
Si 0.0964 0.3200 0.7503
Si 0.1121 0.4156 0.0839
Si 0.2241 0.4151 0.4186
Ru 0.0827 0.2523 0.5003
Ru 0.2500 0.2500 0.0000

Values from the calculation:
The value obtained for the density is 5.29 g/cm³. The calculation puts the energy at -383.84 eV/cell. Its calculated volume is 14.48 Å³ per atom. Its crystal system is monoclinic.

# 6
Sc2Si2Ru: optimized geometry, PBE.

a b c (Å): 10.0939 4.0752 9.5071
angles (deg): 90.00 118.07 90.00
Space group C2/m (No. 12)
Unique sites:
Sc 0.0057 0.0000 0.1776
Sc 0.1826 0.0000 0.6076
Si 0.0122 0.5000 0.3785
Si 0.1391 0.5000 0.0650
Ru 0.2293 0.5000 0.8704

Values from the calculation:
The value obtained for the density is 4.76 g/cm³. The calculation puts the energy at -148.92 eV/cell. Its calculated volume is 17.25 Å³ per atom. The calculation puts the distance to the lowest polymorph of the same formula at 0 meV per atom. Its crystal system is monoclinic.

# 7
Sc3SiRu: optimized geometry, PBE.

a b c (Å): 4.8906 4.8906 4.8906
angles (deg): 90.00 90.00 90.00
Space group Pm-3m (No. 221)
Unique sites:
Sc 0.0000 0.0000 0.5000
Si 0.0000 0.0000 0.0000
Ru 0.5000 0.5000 0.5000

Values from the calculation:
The value obtained for the density is 3.75 g/cm³. The calculation puts the energy at -31.73 eV/cell. Its calculated volume is 23.39 Å³ per atom. The calculation puts the distance to the lowest polymorph of the same formula at 378 meV per atom. Its crystal system is cubic.

# 8
ScSi4Ru: optimized geometry, PBE.

a b c (Å): 4.7050 8.0590 4.5517
angles (deg): 90.00 90.00 90.00
Space group Cmmm (No. 65)
Unique sites:
Sc 0.0000 0.0000 0.0000
Si 0.0000 0.1708 0.5000
Si 0.0000 0.3278 0.0000
Ru 0.0000 0.5000 0.5000

Values from the calculation:
The value obtained for the density is 4.97 g/cm³. The calculation puts the energy at -78.23 eV/cell. Its calculated volume is 14.38 Å³ per atom. The calculation puts the distance to the lowest polymorph of the same formula at 0 meV per atom. Its crystal system is orthorhombic.

# 9
ScSi2Ru2: optimized geometry, PBE.

a b c (Å): 7.1289 7.1289 2.8547
angles (deg): 90.00 90.00 90.00
Space group P4/mbm (No. 127)
Unique sites:
Sc 0.0000 0.0000 0.0000
Si 0.1367 0.3633 0.0000
Ru 0.1551 0.6551 0.5000

Values from the calculation:
The value obtained for the density is 6.94 g/cm³. The calculation puts the energy at -77.89 eV/cell. Its calculated volume is 14.51 Å³ per atom. Its crystal system is tetragonal.

# 10
SmScSi2Ru: optimized geometry, PBE.

a b c (Å): 4.0467 4.0467 11.3780
angles (deg): 90.00 90.00 90.00
Space group I-4m2 (No. 119)
Unique sites:
Sm 0.0000 0.0000 0.0000
Sc 0.0000 0.5000 0.2500
Si 0.0000 0.0000 0.3953
Ru 0.0000 0.5000 0.7500

Values from the calculation:
The value obtained for the density is 6.28 g/cm³. The calculation puts the energy at -70.32 eV/cell. Its calculated volume is 18.63 Å³ per atom. Its crystal system is tetragonal.

# 11
Sc2TaSi2Ru5: optimized geometry, PBE.

a b c (Å): 9.8626 9.8626 3.1927
angles (deg): 90.00 90.00 90.00
Space group P4/mbm (No. 127)
Unique sites:
Sc 0.1724 0.3276 0.0000
Ta 0.0000 0.0000 0.0000
Si 0.1272 0.6272 0.0000
Ru 0.0000 0.5000 0.5000
Ru 0.0686 0.7933 0.5000

Values from the calculation:
The value obtained for the density is 8.90 g/cm³. The calculation puts the energy at -177.70 eV/cell. Its calculated volume is 15.53 Å³ per atom. Its crystal system is tetragonal.

# 12
TbScSi2Ru: optimized geometry, PBE.

a b c (Å): 4.0098 4.0098 11.3488
angles (deg): 90.00 90.00 90.00
Space group I-4m2 (No. 119)
Unique sites:
Tb 0.0000 0.0000 0.0000
Sc 0.0000 0.5000 0.2500
Si 0.0000 0.0000 0.3963
Ru 0.0000 0.5000 0.7500

Values from the calculation:
The value obtained for the density is 6.57 g/cm³. The calculation puts the energy at -70.22 eV/cell. Its calculated volume is 18.25 Å³ per atom. Its crystal system is tetragonal.

# 13
ScSiTcRu: optimized geometry, PBE.

a b c (Å): 6.1525 6.1525 6.1525
angles (deg): 90.00 90.00 90.00
Space group F-43m (No. 216)
Unique sites:
Sc 0.0000 0.0000 0.0000
Si 0.0000 0.0000 0.5000
Tc 0.2500 0.2500 0.2500
Ru 0.2500 0.2500 0.7500

Values from the calculation:
The value obtained for the density is 7.76 g/cm³. The calculation puts the energy at -132.75 eV/cell. Its calculated volume is 14.56 Å³ per atom. Its crystal system is cubic.

# 14
Th2ScSi2Ru5: optimized geometry, PBE.

a b c (Å): 10.2225 10.2225 3.3798
angles (deg): 90.00 90.00 90.00
Space group P4/mbm (No. 127)
Unique sites:
Th 0.1757 0.3243 0.0000
Sc 0.0000 0.0000 0.0000
Si 0.1224 0.6224 0.0000
Ru 0.0000 0.5000 0.5000
Ru 0.0688 0.7824 0.5000

Values from the calculation:
The value obtained for the density is 10.07 g/cm³. The calculation puts the energy at -170.66 eV/cell. Its calculated volume is 17.66 Å³ per atom. Its crystal system is tetragonal.

# 15
ScTl2SiRu: optimized geometry, PBE.

a b c (Å): 5.1696 5.1696 4.4619
angles (deg): 90.00 90.00 90.00
Space group P4/mmm (No. 123)
Unique sites:
Sc 0.0000 0.0000 0.0000
Tl 0.0000 0.5000 0.5000
Si 0.5000 0.5000 0.5000
Ru 0.5000 0.5000 0.0000

Values from the calculation:
The value obtained for the density is 8.12 g/cm³. The calculation puts the energy at -22.97 eV/cell. Its calculated volume is 23.85 Å³ per atom. Its crystal system is tetragonal.

# 16
Tm2ScSi2Ru5: optimized geometry, PBE.

a b c (Å): 10.0128 10.0128 3.2698
angles (deg): 90.00 90.00 90.00
Space group P4/mbm (No. 127)
Unique sites:
Tm 0.1727 0.3273 0.0000
Sc 0.0000 0.0000 0.0000
Si 0.1271 0.6271 0.0000
Ru 0.0000 0.5000 0.5000
Ru 0.0699 0.7889 0.5000

Values from the calculation:
The value obtained for the density is 9.57 g/cm³. The calculation puts the energy at -158.57 eV/cell. Its calculated volume is 16.39 Å³ per atom. Its crystal system is tetragonal.

# 17
Sc2USi2Ru5: optimized geometry, PBE.

a b c (Å): 9.6921 9.6921 3.4100
angles (deg): 90.00 90.00 90.00
Space group P4/mbm (No. 127)
Unique sites:
Sc 0.1686 0.3314 0.0000
U 0.0000 0.0000 0.0000
Si 0.1274 0.6274 0.0000
Ru 0.0000 0.5000 0.5000
Ru 0.0708 0.7931 0.5000

Values from the calculation:
The value obtained for the density is 9.22 g/cm³. The calculation puts the energy at -176.28 eV/cell. Its calculated volume is 16.02 Å³ per atom. Its crystal system is tetragonal.

# 18
Sc2VSi2Ru5: optimized geometry, PBE.

a b c (Å): 9.7610 9.7610 3.1436
angles (deg): 90.00 90.00 90.00
Space group P4/mbm (No. 127)
Unique sites:
Sc 0.1716 0.3284 0.0000
V 0.0000 0.0000 0.0000
Si 0.1296 0.6296 0.0000
Ru 0.0000 0.5000 0.5000
Ru 0.0670 0.7987 0.5000

Values from the calculation:
The value obtained for the density is 7.79 g/cm³. The calculation puts the energy at -171.08 eV/cell. Its calculated volume is 14.98 Å³ per atom. Its crystal system is tetragonal.

# 19
Sc2Si2Ru5W: optimized geometry, PBE.

a b c (Å): 9.8144 9.8144 3.1835
angles (deg): 90.00 90.00 90.00
Space group P4/mbm (No. 127)
Unique sites:
Sc 0.1721 0.3279 0.0000
Si 0.1267 0.6267 0.0000
Ru 0.0000 0.5000 0.5000
Ru 0.0696 0.7960 0.5000
W 0.0000 0.0000 0.0000

Values from the calculation:
The value obtained for the density is 9.05 g/cm³. The calculation puts the energy at -177.73 eV/cell. Its calculated volume is 15.33 Å³ per atom. Its crystal system is tetragonal.

# 20
ScZnSiRu2: optimized geometry, PBE.

a b c (Å): 4.5732 4.5732 4.8484
angles (deg): 90.00 90.00 90.00
Space group P4/mmm (No. 123)
Unique sites:
Sc 0.0000 0.0000 0.0000
Zn 0.0000 0.0000 0.5000
Si 0.5000 0.5000 0.5000
Ru 0.0000 0.5000 0.0000

Values from the calculation:
The value obtained for the density is 5.58 g/cm³. The calculation puts the energy at -24.46 eV/cell. Its calculated volume is 20.28 Å³ per atom. Its crystal system is tetragonal.

# 21
ZrSc2SiRu: optimized geometry, PBE.

a b c (Å): 4.9699 4.9699 4.3820
angles (deg): 90.00 90.00 90.00
Space group P4/mmm (No. 123)
Unique sites:
Zr 0.0000 0.0000 0.0000
Sc 0.0000 0.5000 0.5000
Si 0.5000 0.5000 0.5000
Ru 0.5000 0.5000 0.0000

Values from the calculation:
The value obtained for the density is 4.76 g/cm³. The calculation puts the energy at -35.28 eV/cell. Its calculated volume is 21.65 Å³ per atom. Its crystal system is tetragonal.

| no. | ΔE_f (raw) (meV/atom) |
| --- | --- |
| 1 | -877 |
| 2 | -626 |
| 3 | 63 |
| 4 | -859 |
| 5 | -476 |
| 6 | -889 |
| 7 | 392 |
| 8 | -302 |
| 9 | -643 |
| 10 | -797 |
| 11 | -711 |
| 12 | -806 |
| 13 | -448 |
| 14 | -694 |
| 15 | 558 |
| 16 | -678 |
| 17 | -696 |
| 18 | -654 |
| 19 | -602 |
| 20 | 1425 |
| 21 | 126 |